Record 1
This record from the Alexandria database describes a relaxed structure of ReSN. The functional is PBE-GGA.

The structure belongs to space group P-1 (No. 2); the cell edges are 3.503, 5.580 and 6.813 Å and the angles 71.96°, 75.66° and 71.78°. Symmetry generates all atoms from Re at (0.132, 0.266, 0.467), S at (0.058, 0.662, 0.212) and N at (0.283, 0.844, 0.594).

The calculation puts the magnetic moment at 0.0 μB per cell. Its total energy is -8.333 eV/atom. As for the formation energy (no corrections): -0.032 eV/atom.

Record 2
This record from the Alexandria database describes a relaxed structure of MoOsSe2N. The functional is PBE-GGA.

The structure belongs to space group P4/mmm (No. 123); the cell edges are 5.063, 5.063 and 3.661 Å and the angles 90.00°, 90.00° and 90.00°. Symmetry generates all atoms from Mo at (0.000, 0.000, 0.000), Os at (0.500, 0.500, 0.500), Se at (0.000, 0.500, 0.500) and N at (0.500, 0.500, 0.000).

The calculation puts the magnetic moment at 3.1 μB per cell. Its total energy is -6.685 eV/atom. As for the formation energy (no corrections): 0.786 eV/atom.

Record 3
This record from the Alexandria database describes a relaxed structure of KRb3Hg2F9. The functional is PBE-GGA.

The structure belongs to space group P-3m1 (No. 164); the cell edges are 6.5981, 6.5981 and 8.1097 Å and the angles 90.00°, 90.00° and 120.00°. Symmetry generates all atoms from K at (0.0000, 0.0000, 0.0000), Rb at (0.0000, 0.0000, 0.5000), Rb at (0.3333, 0.6667, 0.1539), Hg at (0.3333, 0.6667, 0.6574), F at (0.0000, 0.5000, 0.5000) and F at (0.1739, 0.3478, 0.8129).

The calculation puts the magnetic moment at 0.9 μB per cell. Its total energy is -3.521 eV/atom. As for the formation energy (no corrections): -2.091 eV/atom.

Record 4
This record from the Alexandria database describes a relaxed structure of Li2ZrPaO6. The functional is PBE-GGA.

The structure belongs to space group R3 (No. 146, hexagonal axes); the cell edges are 5.4088, 5.4088 and 14.8248 Å and the angles 90.00°, 90.00° and 120.00°. Symmetry generates all atoms from Li at (0.0000, 0.0000, 0.0000), Li at (0.0000, 0.0000, 0.5002), Zr at (0.0000, 0.0000, 0.2825), Pa at (0.0000, 0.0000, 0.7844), O at (0.0100, 0.7002, 0.3762) and O at (0.0139, 0.3622, 0.5444).

The calculation puts the magnetic moment at 2.6 μB per cell. Its total energy is -7.938 eV/atom. As for the formation energy (no corrections): -2.776 eV/atom.

Record 5
This record from the Alexandria database describes a relaxed structure of Ca2NdPt. The functional is PBE-GGA.

The structure belongs to space group Pnma (No. 62); the cell edges are 7.680, 9.713 and 6.549 Å and the angles 90.00°, 90.00° and 90.00°. Symmetry generates all atoms from Ca at (0.174, 0.065, 0.162), Nd at (0.039, 0.250, 0.640) and Pt at (0.121, 0.750, 0.958).

The calculation puts the magnetic moment at 0.0 μB per cell. Its total energy is -4.290 eV/atom.

Record 6
This record from the Alexandria database describes a relaxed structure of La4CePa3P8. The functional is PBE-GGA.

The structure belongs to space group R-3m (No. 166, hexagonal axes); the cell edges are 8.2228, 8.2228 and 20.3117 Å and the angles 90.00°, 90.00° and 120.00°. Symmetry generates all atoms from La at (0.0000, 0.0000, 0.0000), La at (0.0000, 0.5000, 0.0000), Ce at (0.0000, 0.0000, 0.5000), Pa at (0.0000, 0.5000, 0.5000), P at (0.0000, 0.0000, 0.2422) and P at (0.0062, 0.5031, 0.7571).

The calculation puts the magnetic moment at 1.4 μB per cell. Its total energy is -7.550 eV/atom.

Record 7
This record from the Alexandria database describes a relaxed structure of ZrSc2Mo. The functional is PBE-GGA.

The structure belongs to space group Cmmm (No. 65); the cell edges are 3.424, 4.888 and 9.967 Å and the angles 90.00°, 90.00° and 90.00°. Symmetry generates all atoms from Zr at (0.000, 0.000, 0.000), Sc at (0.000, 0.500, 0.282) and Mo at (0.000, 0.000, 0.500).

The calculation puts the magnetic moment at 0.0 μB per cell. Its total energy is -7.853 eV/atom.

Record 8
This record from the Alexandria database describes a relaxed structure of RbTl12Pd4. The functional is PBE-GGA.

The structure belongs to space group Im-3 (No. 204); the cell edges are 10.051, 10.051 and 10.051 Å and the angles 90.00°, 90.00° and 90.00°. Symmetry generates all atoms from Rb at (0.000, 0.000, 0.000), Tl at (0.000, 0.338, 0.168) and Pd at (0.250, 0.250, 0.250).

The calculation puts the magnetic moment at 0.0 μB per cell. Its total energy is -3.000 eV/atom.

Record 9
This record from the Alexandria database describes a relaxed structure of CaThCuSe4. The functional is PBE-GGA.

The structure belongs to space group P2_1/m (No. 11); the cell edges are 7.118, 5.934 and 8.420 Å and the angles 90.00°, 107.20° and 90.00°. Symmetry generates all atoms from Ca at (0.230, 0.250, 0.438), Th at (0.234, 0.250, 0.935), Cu at (0.242, 0.750, 0.183), Se at (0.066, 0.750, 0.384), Se at (0.074, 0.750, 0.892) and Se at (0.484, 0.510, 0.757).

The calculation puts the magnetic moment at 0.0 μB per cell. Its total energy is -5.255 eV/atom. As for the formation energy (no corrections): -1.332 eV/atom.

Record 10
This record from the Alexandria database describes a relaxed structure of Ce6TiSn10. The functional is PBE-GGA.

The structure belongs to space group P-31m (No. 162); the cell edges are 9.2538, 9.2538 and 6.1960 Å and the angles 90.00°, 90.00° and 120.00°. Symmetry generates all atoms from Ce at (0.0000, 0.3896, 0.2430), Ti at (0.0000, 0.0000, 0.0000), Sn at (0.0000, 0.2370, 0.7140), Sn at (0.3333, 0.6667, 0.0000) and Sn at (0.3333, 0.6667, 0.5000).

The calculation puts the magnetic moment at 2.4 μB per cell. Its total energy is -5.426 eV/atom.

Record 11
This record from the Alexandria database describes a relaxed structure of DyTh4Sc2. The functional is PBE-GGA.

The structure belongs to space group P4_2/mnm (No. 136); the cell edges are 9.238, 9.238 and 5.247 Å and the angles 90.00°, 90.00° and 90.00°. Symmetry generates all atoms from Dy at (0.000, 0.000, 0.000), Th at (0.117, 0.363, 0.500) and Sc at (0.190, 0.810, 0.500).

The calculation puts the magnetic moment at 0.0 μB per cell. Its total energy is -6.388 eV/atom.

Record 12
This record from the Alexandria database describes a relaxed structure of MnReCl. The functional is PBE-GGA.

The structure belongs to space group P3m1 (No. 156); the cell edges are 2.8313, 2.8313 and 6.0845 Å and the angles 90.00°, 90.00° and 120.00°. Symmetry generates all atoms from Mn at (0.0000, 0.0000, 0.0000), Re at (0.6667, 0.3333, 0.3111) and Cl at (0.3333, 0.6667, 0.7059).

The calculation puts the magnetic moment at 0.0 μB per cell. Its total energy is -7.422 eV/atom. As for the formation energy (no corrections): 0.399 eV/atom.

Record 13
This record from the Alexandria database describes a relaxed structure of La2SBr4. The functional is PBE-GGA.

The structure belongs to space group P4_2/mnm (No. 136); the cell edges are 12.650, 12.650 and 3.952 Å and the angles 90.00°, 90.00° and 90.00°. Symmetry generates all atoms from La at (0.120, 0.120, 0.000), S at (0.000, 0.000, 0.500) and Br at (0.076, 0.288, 0.500).

The calculation puts the magnetic moment at 0.0 μB per cell. Its total energy is -4.914 eV/atom. As for the formation energy (no corrections): -1.961 eV/atom.

Record 14
This record from the Alexandria database describes a relaxed structure of FeCo3Ir4. The functional is PBE-GGA.

The structure belongs to space group I4/mmm (No. 139); the cell edges are 3.760, 3.760 and 14.420 Å and the angles 90.00°, 90.00° and 90.00°. Symmetry generates all atoms from Fe at (0.000, 0.000, 0.000), Co at (0.000, 0.000, 0.251), Co at (0.000, 0.000, 0.500) and Ir at (0.000, 0.500, 0.126).

The calculation puts the magnetic moment at 10.3 μB per cell. Its total energy is -8.146 eV/atom.

Record 15
This record from the Alexandria database describes a relaxed structure of K3MoW. The functional is PBE-GGA.

The structure belongs to space group Pm-3m (No. 221); the cell edges are 6.710, 6.710 and 6.710 Å and the angles 90.00°, 90.00° and 90.00°. Symmetry generates all atoms from K at (0.000, 0.000, 0.500), Mo at (0.000, 0.000, 0.000) and W at (0.500, 0.500, 0.500).

The calculation puts the magnetic moment at 11.0 μB per cell. Its total energy is -3.003 eV/atom.